1.
Compound: AlAg8S6
Source: Alexandria via LeMat-Bulk
Functional: PBE
Structure: optimized geometry

```
AlAg8S6
1.0
7.751 0.000 0.000
0.000 7.571 0.000
0.000 0.000 10.448
Al Ag S
2 16 12
Direct
0.000 0.250 0.000
0.500 0.750 0.500
0.000 0.627 0.507
0.000 0.703 0.957
0.199 0.100 0.347
0.205 0.529 0.748
0.216 0.154 0.631
0.284 0.846 0.131
0.295 0.471 0.248
0.301 0.900 0.847
0.500 0.297 0.457
0.500 0.373 0.007
0.699 0.900 0.847
0.705 0.471 0.248
0.716 0.846 0.131
0.784 0.154 0.631
0.795 0.529 0.748
0.801 0.100 0.347
0.000 0.013 0.136
0.000 0.288 0.490
0.000 0.486 0.132
0.000 0.797 0.730
0.242 0.243 0.880
0.258 0.757 0.380
0.500 0.203 0.230
0.500 0.514 0.632
0.500 0.712 0.990
0.500 0.987 0.636
0.742 0.757 0.380
0.758 0.243 0.880
```

The uncorrected energy comes out at -108.74 eV for the cell shown.



2.
Compound: AlAg2S
Source: Alexandria via LeMat-Bulk
Functional: PBE
Structure: optimized geometry

```
AlAg2S
1.0
6.658 0.000 0.000
0.000 6.658 0.000
0.000 0.000 6.658
Al Ag S
4 8 4
Direct
0.000 0.000 0.000
0.000 0.500 0.500
0.500 0.000 0.500
0.500 0.500 0.000
0.250 0.250 0.250
0.250 0.250 0.750
0.250 0.750 0.250
0.250 0.750 0.750
0.750 0.250 0.250
0.750 0.250 0.750
0.750 0.750 0.250
0.750 0.750 0.750
0.000 0.000 0.500
0.000 0.500 0.000
0.500 0.000 0.000
0.500 0.500 0.500
```

The uncorrected energy comes out at -50.83 eV for the cell shown.



3.
Compound: AlAg3S
Source: Alexandria via LeMat-Bulk
Functional: PBE
Structure: optimized geometry

```
AlAg3S
1.0
4.866 0.000 0.000
0.000 4.866 0.000
0.000 0.000 4.866
Al Ag S
1 3 1
Direct
0.000 0.000 0.000
0.000 0.000 0.500
0.000 0.500 0.000
0.500 0.000 0.000
0.500 0.500 0.500
```

The uncorrected energy comes out at -12.80 eV for the cell shown.



4.
Compound: Al5AgS8
Source: Alexandria via LeMat-Bulk
Functional: PBE
Structure: optimized geometry

```
Al5AgS8
1.0
0.000 5.091 5.091
5.091 0.000 5.091
5.091 5.091 0.000
Al Ag S
5 1 8
Direct
0.000 0.000 0.000
0.146 0.618 0.618
0.618 0.146 0.618
0.618 0.618 0.146
0.618 0.618 0.618
0.250 0.250 0.250
0.387 0.387 0.387
0.387 0.387 0.839
0.387 0.839 0.387
0.400 0.867 0.867
0.839 0.387 0.387
0.867 0.400 0.867
0.867 0.867 0.400
0.867 0.867 0.867
```

The uncorrected energy comes out at -67.82 eV for the cell shown.



5.
Compound: AlAgS2
Source: Alexandria via LeMat-Bulk
Functional: PBE
Structure: optimized geometry

```
AlAgS2
1.0
3.870 0.000 0.000
0.000 5.622 0.000
-0.002 0.000 8.059
Al Ag S
2 2 4
Direct
0.250 0.000 0.128
0.750 0.500 0.872
0.250 0.029 0.643
0.750 0.529 0.357
0.250 0.742 0.900
0.250 0.818 0.363
0.750 0.242 0.100
0.750 0.318 0.637
```

The uncorrected energy comes out at -34.79 eV for the cell shown.



6.
Compound: AlAg2S8
Source: Alexandria via LeMat-Bulk
Functional: PBE
Structure: optimized geometry

```
AlAg2S8
1.0
3.619 0.000 0.000
0.228 6.225 0.000
0.260 0.997 10.053
Al Ag S
1 2 8
Direct
0.000 0.000 0.000
0.493 0.601 0.747
0.507 0.399 0.253
0.003 0.412 0.922
0.007 0.442 0.594
0.345 0.993 0.578
0.492 0.036 0.151
0.508 0.964 0.849
0.655 0.007 0.422
0.993 0.558 0.406
0.997 0.588 0.078
```

The uncorrected energy comes out at -43.15 eV for the cell shown.



7.
Compound: AlAgS2
Source: Alexandria via LeMat-Bulk
Functional: PBE
Structure: optimized geometry

```
AlAgS2
1.0
3.540 0.000 0.000
-1.770 3.066 0.000
0.000 0.000 6.898
Al Ag S
1 1 2
Direct
0.000 0.000 0.000
0.333 0.667 0.535
0.333 0.667 0.180
0.667 0.333 0.797
```

The uncorrected energy comes out at -17.60 eV for the cell shown.



8.
Compound: Al2AgS
Source: Alexandria via LeMat-Bulk
Functional: PBE
Structure: optimized geometry

```
Al2AgS
1.0
6.069 0.000 0.000
0.000 6.069 0.000
0.000 0.000 9.893
Al Ag S
8 4 4
Direct
0.237 0.250 0.125
0.250 0.737 0.375
0.250 0.763 0.875
0.263 0.250 0.625
0.737 0.750 0.625
0.750 0.237 0.875
0.750 0.263 0.375
0.763 0.750 0.125
0.000 0.000 0.500
0.000 0.500 0.750
0.500 0.000 0.250
0.500 0.500 0.000
0.000 0.000 0.000
0.000 0.500 0.250
0.500 0.000 0.750
0.500 0.500 0.500
```

The uncorrected energy comes out at -58.79 eV for the cell shown.



9.
Compound: ScAl2Ag2S6
Source: Alexandria via LeMat-Bulk
Functional: PBE
Structure: optimized geometry

```
ScAl2Ag2S6
1.0
3.140 -5.399 0.000
3.140 5.399 0.000
-2.600 0.000 6.292
Sc Al Ag S
1 2 2 6
Direct
0.000 0.000 0.000
0.325 0.675 0.000
0.675 0.325 0.000
0.156 0.844 0.500
0.844 0.156 0.500
0.086 0.440 0.219
0.270 0.270 0.792
0.440 0.086 0.219
0.560 0.914 0.781
0.730 0.730 0.208
0.914 0.560 0.781
```

The uncorrected energy comes out at -53.65 eV for the cell shown.



10.
Compound: Sc3AlAg3S8
Source: Alexandria via LeMat-Bulk
Functional: PBE
Structure: optimized geometry

```
Sc3AlAg3S8
1.0
6.457 -3.729 0.000
6.457 3.729 0.000
-4.348 0.000 6.267
Sc Al Ag S
3 1 3 8
Direct
0.000 0.000 0.000
0.000 0.500 0.000
0.500 0.000 0.000
0.500 0.500 0.000
0.000 0.500 0.500
0.500 0.000 0.500
0.500 0.500 0.500
0.241 0.241 0.219
0.261 0.731 0.221
0.269 0.269 0.779
0.269 0.739 0.779
0.731 0.261 0.221
0.731 0.731 0.221
0.739 0.269 0.779
0.759 0.759 0.781
```

The uncorrected energy comes out at -80.45 eV for the cell shown.



11.
Compound: AlSiAg2S4
Source: Alexandria via LeMat-Bulk
Functional: PBE
Structure: optimized geometry

```
AlSiAg2S4
1.0
5.772 0.000 0.000
0.000 5.772 0.000
0.000 0.000 10.630
Al Si Ag S
2 2 4 8
Direct
0.000 0.000 0.000
0.500 0.500 0.500
0.000 0.500 0.250
0.500 0.000 0.750
0.000 0.000 0.500
0.000 0.500 0.750
0.500 0.000 0.250
0.500 0.500 0.000
0.208 0.248 0.126
0.248 0.792 0.874
0.252 0.708 0.374
0.292 0.252 0.626
0.708 0.748 0.626
0.748 0.292 0.374
0.752 0.208 0.874
0.792 0.752 0.126
```

The uncorrected energy comes out at -69.07 eV for the cell shown.



12.
Compound: Al2SiAgS6
Source: Alexandria via LeMat-Bulk
Functional: PBE
Structure: optimized geometry

```
Al2SiAgS6
1.0
7.111 -6.427 0.000
7.111 6.427 0.000
-2.752 0.000 5.732
Al Si Ag S
4 2 2 12
Direct
0.020 0.846 0.879
0.154 0.980 0.621
0.846 0.020 0.379
0.980 0.154 0.121
0.314 0.686 0.250
0.686 0.314 0.750
0.430 0.570 0.750
0.570 0.430 0.250
0.042 0.183 0.517
0.114 0.643 0.958
0.183 0.042 0.017
0.303 0.490 0.339
0.357 0.886 0.542
0.490 0.303 0.839
0.510 0.697 0.161
0.643 0.114 0.458
0.697 0.510 0.661
0.817 0.958 0.983
0.886 0.357 0.042
0.958 0.817 0.483
```

The uncorrected energy comes out at -93.70 eV for the cell shown.